Arrangement i

Compound: NaNb2Ag
Source: Alexandria
Functional: PBE
Structure: optimized geometry

**Mass density**: 6.4 g cm⁻³
**Crystal system**: tetragonal
**Total magnetic moment**: 0.0000 μB per atom

The structure in CIF format:
```
data_NaNb2Ag
_chemical_formula_sum 'Na4 Nb8 Ag4'
_space_group_name_H-M_alt 'I -4 2 d'
_space_group_IT_number 122
_space_group_name_Hall 'I -4 2bw'
_cell_length_a 7.9300
_cell_length_b 7.9300
_cell_length_c 5.1861
_cell_angle_alpha 90.00
_cell_angle_beta 90.00
_cell_angle_gamma 90.00
loop_
_atom_site_label
_atom_site_fract_x
_atom_site_fract_y
_atom_site_fract_z
Na1 0.0000 0.0000 0.0000
Nb1 0.2332 0.7500 0.6250
Ag1 0.0000 0.0000 0.5000
```

***

Arrangement ii

Compound: NaNb2Ag
Source: Alexandria
Functional: PBE
Structure: optimized geometry

**Mass density**: 7.0 g cm⁻³
**Crystal system**: cubic
**Total magnetic moment**: 0.0000 μB per atom

The structure in CIF format:
```
data_NaNb2Ag
_chemical_formula_sum 'Na4 Nb8 Ag4'
_space_group_name_H-M_alt 'F m -3 m'
_space_group_IT_number 225
_space_group_name_Hall '-F 4 2 3'
_cell_length_a 6.6865
_cell_length_b 6.6865
_cell_length_c 6.6865
_cell_angle_alpha 90.00
_cell_angle_beta 90.00
_cell_angle_gamma 90.00
loop_
_atom_site_label
_atom_site_fract_x
_atom_site_fract_y
_atom_site_fract_z
Na1 0.0000 0.0000 0.0000
Nb1 0.2500 0.2500 0.2500
Ag1 0.0000 0.0000 0.5000
```

***

Least stable = arrangement i

***

Arrangement i

Compound: NaNb3Ag
Source: Alexandria
Functional: PBE
Structure: optimized geometry

**Mass density**: 5.3 g cm⁻³
**Crystal system**: cubic
**Total magnetic moment**: 0.2871 μB per atom

The structure in CIF format:
```
data_NaNb3Ag
_chemical_formula_sum 'Na1 Nb3 Ag1'
_space_group_name_H-M_alt 'P m -3 m'
_space_group_IT_number 221
_space_group_name_Hall '-P 4 2 3'
_cell_length_a 5.0429
_cell_length_b 5.0429
_cell_length_c 5.0429
_cell_angle_alpha 90.00
_cell_angle_beta 90.00
_cell_angle_gamma 90.00
loop_
_atom_site_label
_atom_site_fract_x
_atom_site_fract_y
_atom_site_fract_z
Na1 0.0000 0.0000 0.0000
Nb1 0.0000 0.5000 0.5000
Ag1 0.5000 0.5000 0.5000
```

***

Arrangement ii

Compound: NaNb3Ag
Source: Alexandria
Functional: PBE
Structure: optimized geometry

**Mass density**: 6.6 g cm⁻³
**Crystal system**: cubic
**Total magnetic moment**: 0.0000 μB per atom

The structure in CIF format:
```
data_NaNb3Ag
_chemical_formula_sum 'Na1 Nb3 Ag1'
_space_group_name_H-M_alt 'P m -3 m'
_space_group_IT_number 221
_space_group_name_Hall '-P 4 2 3'
_cell_length_a 4.6947
_cell_length_b 4.6947
_cell_length_c 4.6947
_cell_angle_alpha 90.00
_cell_angle_beta 90.00
_cell_angle_gamma 90.00
loop_
_atom_site_label
_atom_site_fract_x
_atom_site_fract_y
_atom_site_fract_z
Na1 0.0000 0.0000 0.0000
Nb1 0.0000 0.0000 0.5000
Ag1 0.5000 0.5000 0.5000
```

***

Least stable = arrangement ii

***

Arrangement i

Compound: NaNdAg
Source: Alexandria
Functional: PBE
Structure: optimized geometry

**Mass density**: 5.8 g cm⁻³
**Crystal system**: hexagonal
**Total magnetic moment**: 0.0721 μB per atom

The structure in CIF format:
```
data_NaNdAg
_chemical_formula_sum 'Na1 Nd1 Ag1'
_space_group_name_H-M_alt 'P -6 m 2'
_space_group_IT_number 187
_space_group_name_Hall 'P -6 2'
_cell_length_a 5.1806
_cell_length_b 5.1806
_cell_length_c 3.4068
_cell_angle_alpha 90.00
_cell_angle_beta 90.00
_cell_angle_gamma 120.00
loop_
_atom_site_label
_atom_site_fract_x
_atom_site_fract_y
_atom_site_fract_z
Na1 0.0000 0.0000 0.0000
Nd1 0.3333 0.6667 0.5000
Ag1 0.6667 0.3333 0.0000
```

***

Arrangement ii

Compound: NaNdAg
Source: Alexandria
Functional: PBE
Structure: optimized geometry

**Mass density**: 5.3 g cm⁻³
**Crystal system**: tetragonal
**Total magnetic moment**: 0.0000 μB per atom

The structure in CIF format:
```
data_NaNdAg
_chemical_formula_sum 'Na2 Nd2 Ag2'
_space_group_name_H-M_alt 'I 4 m m'
_space_group_IT_number 107
_space_group_name_Hall 'I 4 -2'
_cell_length_a 3.6114
_cell_length_b 3.6114
_cell_length_c 13.2783
_cell_angle_alpha 90.00
_cell_angle_beta 90.00
_cell_angle_gamma 90.00
loop_
_atom_site_label
_atom_site_fract_x
_atom_site_fract_y
_atom_site_fract_z
Na1 0.0000 0.0000 0.0000
Nd1 0.0000 0.0000 0.7190
Ag1 0.0000 0.0000 0.3584
```

***

Least stable = arrangement i

***

Arrangement i

Compound: NaNd2Ag
Source: Alexandria
Functional: PBE
Structure: optimized geometry

**Mass density**: 5.4 g cm⁻³
**Crystal system**: trigonal
**Total magnetic moment**: 0.0000 μB per atom

The structure in CIF format:
```
data_NaNd2Ag
_chemical_formula_sum 'Na3 Nd6 Ag3'
_space_group_name_H-M_alt 'R -3 m'
_space_group_IT_number 166
_space_group_name_Hall '-R 3 2"'
_cell_length_a 3.5176
_cell_length_b 3.5176
_cell_length_c 36.1764
_cell_angle_alpha 90.00
_cell_angle_beta 90.00
_cell_angle_gamma 120.00
loop_
_atom_site_label
_atom_site_fract_x
_atom_site_fract_y
_atom_site_fract_z
Na1 0.0000 0.0000 0.0000
Nd1 0.0000 0.0000 0.0986
Ag1 0.0000 0.0000 0.5000
```

***

Arrangement ii

Compound: NaNd2Ag
Source: Alexandria
Functional: PBE
Structure: optimized geometry

**Mass density**: 6.0 g cm⁻³
**Crystal system**: cubic
**Total magnetic moment**: 0.1729 μB per atom

The structure in CIF format:
```
data_NaNd2Ag
_chemical_formula_sum 'Na4 Nd8 Ag4'
_space_group_name_H-M_alt 'F m -3 m'
_space_group_IT_number 225
_space_group_name_Hall '-F 4 2 3'
_cell_length_a 7.7342
_cell_length_b 7.7342
_cell_length_c 7.7342
_cell_angle_alpha 90.00
_cell_angle_beta 90.00
_cell_angle_gamma 90.00
loop_
_atom_site_label
_atom_site_fract_x
_atom_site_fract_y
_atom_site_fract_z
Na1 0.0000 0.0000 0.0000
Nd1 0.2500 0.2500 0.2500
Ag1 0.0000 0.0000 0.5000
```

***

Arrangement iii

Compound: NaNd2Ag
Source: Alexandria
Functional: PBE
Structure: optimized geometry

**Mass density**: 5.6 g cm⁻³
**Crystal system**: tetragonal
**Total magnetic moment**: 0.0003 μB per atom

The structure in CIF format:
```
data_NaNd2Ag
_chemical_formula_sum 'Na1 Nd2 Ag1'
_space_group_name_H-M_alt 'P 4/m m m'
_space_group_IT_number 123
_space_group_name_Hall '-P 4 2'
_cell_length_a 3.5305
_cell_length_b 3.5305
_cell_length_c 10.0353
_cell_angle_alpha 90.00
_cell_angle_beta 90.00
_cell_angle_gamma 90.00
loop_
_atom_site_label
_atom_site_fract_x
_atom_site_fract_y
_atom_site_fract_z
Na1 0.0000 0.0000 0.0000
Nd1 0.5000 0.5000 0.2981
Ag1 0.0000 0.0000 0.5000
```

***

Least stable = arrangement i

***

Arrangement i

Compound: Na3NiAg
Source: Alexandria
Functional: PBE
Structure: optimized geometry

**Mass density**: 2.7 g cm⁻³
**Crystal system**: cubic
**Total magnetic moment**: 0.0000 μB per atom

The structure in CIF format:
```
data_Na3NiAg
_chemical_formula_sum 'Na3 Ni1 Ag1'
_space_group_name_H-M_alt 'P m -3 m'
_space_group_IT_number 221
_space_group_name_Hall '-P 4 2 3'
_cell_length_a 5.2814
_cell_length_b 5.2814
_cell_length_c 5.2814
_cell_angle_alpha 90.00
_cell_angle_beta 90.00
_cell_angle_gamma 90.00
loop_
_atom_site_label
_atom_site_fract_x
_atom_site_fract_y
_atom_site_fract_z
Na1 0.0000 0.0000 0.5000
Ni1 0.0000 0.0000 0.0000
Ag1 0.5000 0.5000 0.5000
```

***

Arrangement ii

Compound: Na3NiAg
Source: Alexandria
Functional: PBE
Structure: optimized geometry

**Mass density**: 2.4 g cm⁻³
**Crystal system**: cubic
**Total magnetic moment**: 0.0677 μB per atom

The structure in CIF format:
```
data_Na3NiAg
_chemical_formula_sum 'Na3 Ni1 Ag1'
_space_group_name_H-M_alt 'P m -3 m'
_space_group_IT_number 221
_space_group_name_Hall '-P 4 2 3'
_cell_length_a 5.4770
_cell_length_b 5.4770
_cell_length_c 5.4770
_cell_angle_alpha 90.00
_cell_angle_beta 90.00
_cell_angle_gamma 90.00
loop_
_atom_site_label
_atom_site_fract_x
_atom_site_fract_y
_atom_site_fract_z
Na1 0.0000 0.0000 0.5000
Ni1 0.5000 0.5000 0.5000
Ag1 0.0000 0.0000 0.0000
```

***

Least stable = arrangement ii

***

Arrangement i

Compound: Na2NiAg
Source: Alexandria
Functional: PBE
Structure: optimized geometry

**Mass density**: 4.5 g cm⁻³
**Crystal system**: cubic
**Total magnetic moment**: 0.0000 μB per atom

The structure in CIF format:
```
data_Na2NiAg
_chemical_formula_sum 'Na8 Ni4 Ag4'
_space_group_name_H-M_alt 'F m -3 m'
_space_group_IT_number 225
_space_group_name_Hall '-F 4 2 3'
_cell_length_a 6.8153
_cell_length_b 6.8153
_cell_length_c 6.8153
_cell_angle_alpha 90.00
_cell_angle_beta 90.00
_cell_angle_gamma 90.00
loop_
_atom_site_label
_atom_site_fract_x
_atom_site_fract_y
_atom_site_fract_z
Na1 0.2500 0.2500 0.2500
Ni1 0.0000 0.0000 0.0000
Ag1 0.0000 0.0000 0.5000
```

***

Arrangement ii

Compound: Na2NiAg
Source: Alexandria
Functional: PBE
Structure: optimized geometry

**Mass density**: 4.2 g cm⁻³
**Crystal system**: tetragonal
**Total magnetic moment**: 0.0003 μB per atom

The structure in CIF format:
```
data_Na2NiAg
_chemical_formula_sum 'Na8 Ni4 Ag4'
_space_group_name_H-M_alt 'I -4 2 d'
_space_group_IT_number 122
_space_group_name_Hall 'I -4 2bw'
_cell_length_a 7.8969
_cell_length_b 7.8969
_cell_length_c 5.3665
_cell_angle_alpha 90.00
_cell_angle_beta 90.00
_cell_angle_gamma 90.00
loop_
_atom_site_label
_atom_site_fract_x
_atom_site_fract_y
_atom_site_fract_z
Na1 0.2314 0.7500 0.1250
Ni1 0.0000 0.0000 0.0000
Ag1 0.0000 0.0000 0.5000
```

***

Least stable = arrangement ii

***

Arrangement i

Compound: NaNiAg3
Source: Alexandria
Functional: PBE
Structure: optimized geometry

**Mass density**: 5.8 g cm⁻³
**Crystal system**: cubic
**Total magnetic moment**: 0.0000 μB per atom

The structure in CIF format:
```
data_NaNiAg3
_chemical_formula_sum 'Na1 Ni1 Ag3'
_space_group_name_H-M_alt 'P m -3 m'
_space_group_IT_number 221
_space_group_name_Hall '-P 4 2 3'
_cell_length_a 4.8840
_cell_length_b 4.8840
_cell_length_c 4.8840
_cell_angle_alpha 90.00
_cell_angle_beta 90.00
_cell_angle_gamma 90.00
loop_
_atom_site_label
_atom_site_fract_x
_atom_site_fract_y
_atom_site_fract_z
Na1 0.0000 0.0000 0.0000
Ni1 0.5000 0.5000 0.5000
Ag1 0.0000 0.5000 0.5000
```

***

Arrangement ii

Compound: NaNiAg3
Source: Alexandria
Functional: PBE
Structure: optimized geometry

**Mass density**: 6.1 g cm⁻³
**Crystal system**: cubic
**Total magnetic moment**: 0.0000 μB per atom

The structure in CIF format:
```
data_NaNiAg3
_chemical_formula_sum 'Na1 Ni1 Ag3'
_space_group_name_H-M_alt 'P m -3 m'
_space_group_IT_number 221
_space_group_name_Hall '-P 4 2 3'
_cell_length_a 4.8065
_cell_length_b 4.8065
_cell_length_c 4.8065
_cell_angle_alpha 90.00
_cell_angle_beta 90.00
_cell_angle_gamma 90.00
loop_
_atom_site_label
_atom_site_fract_x
_atom_site_fract_y
_atom_site_fract_z
Na1 0.0000 0.0000 0.0000
Ni1 0.5000 0.5000 0.5000
Ag1 0.0000 0.0000 0.5000
```

***

Least stable = arrangement ii

***

Arrangement i

Compound: Na2AgO2
Source: Alexandria
Functional: PBE
Structure: optimized geometry

**Mass density**: 4.2 g cm⁻³
**Crystal system**: tetragonal
**Total magnetic moment**: 0.2000 μB per atom

The structure in CIF format:
```
data_Na2AgO2
_chemical_formula_sum 'Na4 Ag2 O4'
_space_group_name_H-M_alt 'I 4/m m m'
_space_group_IT_number 139
_space_group_name_Hall '-I 4 2'
_cell_length_a 3.8139
_cell_length_b 3.8139
_cell_length_c 9.9859
_cell_angle_alpha 90.00
_cell_angle_beta 90.00
_cell_angle_gamma 90.00
loop_
_atom_site_label
_atom_site_fract_x
_atom_site_fract_y
_atom_site_fract_z
Na1 0.0000 0.5000 0.2500
Ag1 0.0000 0.0000 0.0000
O1 0.0000 0.0000 0.3760
```

***

Arrangement ii

Compound: Na2AgO2
Source: Alexandria
Functional: PBE
Structure: optimized geometry

**Mass density**: 4.0 g cm⁻³
**Crystal system**: tetragonal
**Total magnetic moment**: 0.1770 μB per atom

The structure in CIF format:
```
data_Na2AgO2
_chemical_formula_sum 'Na4 Ag2 O4'
_space_group_name_H-M_alt 'I 4/m m m'
_space_group_IT_number 139
_space_group_name_Hall '-I 4 2'
_cell_length_a 3.3659
_cell_length_b 3.3659
_cell_length_c 13.4596
_cell_angle_alpha 90.00
_cell_angle_beta 90.00
_cell_angle_gamma 90.00
loop_
_atom_site_label
_atom_site_fract_x
_atom_site_fract_y
_atom_site_fract_z
Na1 0.0000 0.0000 0.1715
Ag1 0.0000 0.0000 0.5000
O1 0.0000 0.0000 0.3514
```

***

Least stable = arrangement i